The following is a PBE calculation of an optimized crystal structure of Mg2CoIrN, from the Alexandria database.

Unit cell a=4.3440 b=3.4819 c=4.3440 alpha=90.00 beta=90.00 gamma=90.00
Fractional positions:
Mg 0.0000 0.0000 0.5000
Mg 0.5000 0.0000 0.0000
Ir 0.5000 0.5000 0.5000
Co 0.0000 0.5000 0.0000
N 0.0000 0.0000 0.0000

Values from the calculation:
The space-group type is No. 123. The calculation puts the formation energy without anion corrections at -0.1856 eV/atom. The calculated volume is 13.14 A^3/atom.